A plane-wave DFT calculation with GGA+U was carried out for a relaxed structure of MnP2PdO8.

Summary:
Total DFT energy (no corrections) ... -6.615 eV/atom
Size of the total moment ... 4.922 Bohr magnetons per cell
Crystal system ... trigonal

abc: 7.8810 7.8810 7.8810
angles: 34.71 34.71 34.71
Last column: nearest neighbours and their distance in Å.
Atoms (fractional coordinates):
Mn 0.0000 0.0000 0.0000  12 O 2.73-2.87
P 0.2499 0.2499 0.2499  4 O 1.54-1.55
P 0.7501 0.7501 0.7501  4 O 1.54-1.55
Pd 0.5000 0.5000 0.5000  6 O 2.07
O 0.0949 0.4672 0.7514  1 P 1.55
O 0.2486 0.5328 0.9051  1 P 1.55
O 0.3193 0.3193 0.3193  1 P 1.54
O 0.4672 0.7514 0.0949  1 P 1.55
O 0.5328 0.9051 0.2486  1 P 1.55
O 0.6807 0.6807 0.6807  1 P 1.54
O 0.7514 0.0949 0.4672  1 P 1.55
O 0.9051 0.2486 0.5328  1 P 1.55